1.
The following is a PBE calculation of crystalline Cs2NbSbCl6 at its relaxed geometry, from Alexandria.

Values from the calculation:
The calculation puts the energy relative to the elements, uncorrected at -1.202 eV per atom. As for the density of states at the Fermi level: 0.763 states/eV/atom. The value obtained for the size of the total moment is 2.0 μB/cell.

Cell: 8.2319 8.2319 8.2319 Å, 126.69 126.69 78.75°
Fractional coordinates of all 10 atoms:
Cs  0.2500  0.7500  0.5000
Cs  0.7500  0.2500  0.5000
Nb  0.0000  0.0000  0.0000
Sb  0.5000  0.5000  0.0000
Cl  0.1974  0.1974  0.0000
Cl  0.2421  0.2421  0.4841
Cl  0.2421  0.7579  0.0000
Cl  0.7579  0.2421  0.0000
Cl  0.7579  0.7579  0.5159
Cl  0.8026  0.8026  0.0000

***

2.
The following is a PBE calculation of crystalline Cs2TaNbCl at its relaxed geometry, from Alexandria.

Values from the calculation:
The calculation puts the energy relative to the elements, uncorrected at 0.929 eV per atom. As for the density of states at the Fermi level: 0.897 states/eV/atom. The value obtained for the size of the total moment is 1.0 μB/cell.

Cell: 7.1748 7.1748 4.7773 Å, 90.00 90.00 90.00°
Fractional coordinates of all 5 atoms:
Cs  0.0000  0.5000  0.0000
Cs  0.5000  0.0000  0.0000
Ta  0.0000  0.0000  0.0000
Nb  0.0000  0.0000  0.5000
Cl  0.5000  0.5000  0.5000

***

3.
The following is a PBE calculation of crystalline Cs2TiNbCl6 at its relaxed geometry, from Alexandria.

Values from the calculation:
The calculation puts the energy relative to the elements, uncorrected at -1.401 eV per atom. As for the density of states at the Fermi level: 1.528 states/eV/atom. The value obtained for the size of the total moment is 5.0 μB/cell.

Cell: 7.3376 7.3376 7.3376 Å, 60.00 60.00 60.00°
Fractional coordinates of all 10 atoms:
Cs  0.2500  0.2500  0.2500
Cs  0.7500  0.7500  0.7500
Ti  0.0000  0.0000  0.0000
Nb  0.5000  0.5000  0.5000
Cl  0.2498  0.2498  0.7502
Cl  0.2498  0.7502  0.2498
Cl  0.2498  0.7502  0.7502
Cl  0.7502  0.2498  0.2498
Cl  0.7502  0.2498  0.7502
Cl  0.7502  0.7502  0.2498